{"formula": "CoB3C", "functional": "PBE-GGA", "state": "relaxed", "delta_e_f_ev_per_atom": 1.543, "final_energy_ev_per_fu": -28.65, "n_ef_per_ev_fu": 3.147, "space_group": "Pm-3m", "total_magnetization_mub_per_atom": 0.00, "lattice_angstrom": [[-1.388, -0.689, 2.946], [2.494, -2.096, 0.685], [1.713, 2.493, 1.390]], "species": ["C", "B", "B", "B", "Co"], "fractional_positions": [[0.000, 0.000, 0.000], [0.000, 0.500, 0.000], [0.000, 0.000, 0.500], [0.500, 0.000, 0.000], [0.500, 0.500, 0.500]]}